Computed, not measured: a relaxed BaBeVO4 crystal at the GGA+U level of DFT.

Cell and atoms, written as CIF:
```
data_BaBeVO4
_chemical_formula_sum 'Ba4 Be4 V4 O16'
_cell_length_a 7.866
_cell_length_b 7.866
_cell_length_c 7.866
_cell_angle_alpha 90.00
_cell_angle_beta 90.00
_cell_angle_gamma 90.00
_space_group_name_H-M_alt 'F -4 3 m'
_space_group_IT_number 216
_space_group_name_Hall 'F -4 2 3'
loop_
_atom_site_label
_atom_site_fract_x
_atom_site_fract_y
_atom_site_fract_z
Ba1 0.000 0.000 0.000
Be1 0.000 0.000 0.500
V1 0.250 0.250 0.750
O1 0.119 0.119 0.619
```

## Properties
- final energy (eV per atom) = -6.950
- total magnetic moment (μB/f.u.) = 1.000